1.
Compound: Y6Cd5Ga
Source: the Alexandria database
Functional: PBE
Structure: relaxed

Calculated values
Energy of formation from the pure elements ... -397 meV per atom
N(E_F) ... 1.00 states/eV/atom

CIF file:
```
data_Y6Cd5Ga
_symmetry_space_group_name_H-M 'C m m m'
_symmetry_Int_Tables_number 65
_symmetry_space_group_name_Hall '-C 2 2'
_cell_length_a 5.252
_cell_length_b 15.795
_cell_length_c 7.453
_cell_angle_alpha 90.00
_cell_angle_beta 90.00
_cell_angle_gamma 90.00
loop_
_atom_site_label
_atom_site_type_symbol
_atom_site_fract_x
_atom_site_fract_y
_atom_site_fract_z
Y1 Y 0.000 0.000 0.241
Y2 Y 0.000 0.338 0.246
Cd1 Cd 0.000 0.168 0.500
Cd2 Cd 0.000 0.173 0.000
Cd3 Cd 0.000 0.500 0.500
Ga1 Ga 0.000 0.500 0.000
```

=====

2.
Compound: YCdGa
Source: the Alexandria database
Functional: PBE
Structure: relaxed

Calculated values
Energy of formation from the pure elements ... -302 meV per atom
N(E_F) ... 0.22 states/eV/atom

CIF file:
```
data_YCdGa
_symmetry_space_group_name_H-M 'C m c m'
_symmetry_Int_Tables_number 63
_symmetry_space_group_name_Hall '-C 2c 2'
_cell_length_a 5.078
_cell_length_b 8.704
_cell_length_c 6.214
_cell_angle_alpha 90.00
_cell_angle_beta 90.00
_cell_angle_gamma 90.00
loop_
_atom_site_label
_atom_site_type_symbol
_atom_site_fract_x
_atom_site_fract_y
_atom_site_fract_z
Y1 Y 0.000 0.166 0.250
Cd1 Cd 0.000 0.169 0.750
Ga1 Ga 0.000 0.500 0.000
```

=====

3.
Compound: YCdGa
Source: the Alexandria database
Functional: PBE
Structure: relaxed

Calculated values
Energy of formation from the pure elements ... -374 meV per atom
N(E_F) ... 0.49 states/eV/atom

CIF file:
```
data_YCdGa
_symmetry_space_group_name_H-M 'C 1 m 1'
_symmetry_Int_Tables_number 8
_cell_length_a 11.235
_cell_length_b 4.584
_cell_length_c 6.178
_cell_angle_alpha 90.00
_cell_angle_beta 118.14
_cell_angle_gamma 90.00
loop_
_symmetry_equiv_pos_as_xyz
'x,y,z'
'x,-y,z'
'x+1/2,y+1/2,z'
'x+1/2,-y+1/2,z'
loop_
_atom_site_label
_atom_site_type_symbol
_atom_site_fract_x
_atom_site_fract_y
_atom_site_fract_z
Y1 Y 0.000 0.000 0.000
Y2 Y 0.150 0.500 0.533
Cd1 Cd 0.217 0.500 0.092
Cd2 Cd 0.346 0.000 0.501
Ga1 Ga 0.294 0.000 0.921
Ga2 Ga 0.485 0.500 0.505
```

=====

4.
Compound: YCdGa
Source: the Alexandria database
Functional: PBE
Structure: relaxed

Calculated values
Energy of formation from the pure elements ... -493 meV per atom
N(E_F) ... 0.61 states/eV/atom

CIF file:
```
data_YCdGa
_symmetry_space_group_name_H-M 'C 1 2/m 1'
_symmetry_Int_Tables_number 12
_cell_length_a 10.744
_cell_length_b 4.495
_cell_length_c 7.294
_cell_angle_alpha 90.00
_cell_angle_beta 129.43
_cell_angle_gamma 90.00
loop_
_symmetry_equiv_pos_as_xyz
'x,y,z'
'-x,-y,-z'
'-x,y,-z'
'x,-y,z'
'x+1/2,y+1/2,z'
'-x+1/2,-y+1/2,-z'
'-x+1/2,y+1/2,-z'
'x+1/2,-y+1/2,z'
loop_
_atom_site_label
_atom_site_type_symbol
_atom_site_fract_x
_atom_site_fract_y
_atom_site_fract_z
Y1 Y 0.052 0.000 0.306
Cd1 Cd 0.170 0.500 0.096
Ga1 Ga 0.153 0.500 0.666
```

=====

5.
Compound: Y4CdGa
Source: the Alexandria database
Functional: PBE
Structure: relaxed

Calculated values
Energy of formation from the pure elements ... -96 meV per atom
N(E_F) ... 1.61 states/eV/atom

CIF file:
```
data_Y4CdGa
_symmetry_space_group_name_H-M 'P 4/m m m'
_symmetry_Int_Tables_number 123
_symmetry_space_group_name_Hall '-P 4 2'
_cell_length_a 5.028
_cell_length_b 5.028
_cell_length_c 7.283
_cell_angle_alpha 90.00
_cell_angle_beta 90.00
_cell_angle_gamma 90.00
loop_
_atom_site_label
_atom_site_type_symbol
_atom_site_fract_x
_atom_site_fract_y
_atom_site_fract_z
Y1 Y 0.000 0.500 0.243
Cd1 Cd 0.000 0.000 0.500
Ga1 Ga 0.500 0.500 0.000
```

=====

6.
Compound: Y5CdGa4
Source: the Alexandria database
Functional: PBE
Structure: relaxed

Calculated values
Energy of formation from the pure elements ... -555 meV per atom
N(E_F) ... 0.47 states/eV/atom

CIF file:
```
data_Y5CdGa4
_symmetry_space_group_name_H-M 'P 4/m m m'
_symmetry_Int_Tables_number 123
_symmetry_space_group_name_Hall '-P 4 2'
_cell_length_a 3.597
_cell_length_b 3.597
_cell_length_c 18.226
_cell_angle_alpha 90.00
_cell_angle_beta 90.00
_cell_angle_gamma 90.00
loop_
_atom_site_label
_atom_site_type_symbol
_atom_site_fract_x
_atom_site_fract_y
_atom_site_fract_z
Y1 Y 0.000 0.000 0.000
Y2 Y 0.000 0.000 0.195
Y3 Y 0.000 0.000 0.390
Cd1 Cd 0.500 0.500 0.500
Ga1 Ga 0.500 0.500 0.097
Ga2 Ga 0.500 0.500 0.295
```

=====

7.
Compound: Y2CdGa
Source: the Alexandria database
Functional: PBE
Structure: relaxed

Calculated values
Energy of formation from the pure elements ... -327 meV per atom
N(E_F) ... 0.61 states/eV/atom

CIF file:
```
data_Y2CdGa
_symmetry_space_group_name_H-M 'R -3 m'
_symmetry_Int_Tables_number 166
_symmetry_space_group_name_Hall '-R 3 2"'
_cell_length_a 3.6608
_cell_length_b 3.6608
_cell_length_c 27.7026
_cell_angle_alpha 90.00
_cell_angle_beta 90.00
_cell_angle_gamma 120.00
loop_
_atom_site_label
_atom_site_type_symbol
_atom_site_fract_x
_atom_site_fract_y
_atom_site_fract_z
Y1 Y 0.0000 0.0000 0.2437
Cd1 Cd 0.0000 0.0000 0.0000
Ga1 Ga 0.0000 0.0000 0.5000
```

=====

8.
Compound: Y2CdGa3
Source: the Alexandria database
Functional: PBE
Structure: relaxed

Calculated values
Energy of formation from the pure elements ... -522 meV per atom
N(E_F) ... 0.66 states/eV/atom

CIF file:
```
data_Y2CdGa3
_symmetry_space_group_name_H-M 'I m m 2'
_symmetry_Int_Tables_number 44
_cell_length_a 3.944
_cell_length_b 4.431
_cell_length_c 15.525
_cell_angle_alpha 90.00
_cell_angle_beta 90.00
_cell_angle_gamma 90.00
loop_
_symmetry_equiv_pos_as_xyz
'x,y,z'
'-x,-y,z'
'-x,y,z'
'x,-y,z'
'x+1/2,y+1/2,z+1/2'
'-x+1/2,-y+1/2,z+1/2'
'-x+1/2,y+1/2,z+1/2'
'x+1/2,-y+1/2,z+1/2'
loop_
_atom_site_label
_atom_site_type_symbol
_atom_site_fract_x
_atom_site_fract_y
_atom_site_fract_z
Y1 Y 0.000 0.000 0.000
Y2 Y 0.000 0.500 0.283
Cd1 Cd 0.000 0.000 0.604
Ga1 Ga 0.000 0.000 0.437
Ga2 Ga 0.000 0.500 0.689
Ga3 Ga 0.000 0.500 0.847
```